[1]
First-principles (PBE-GGA) data for a relaxed structure of Pr2Si3Au5, as listed in the Alexandria database.

Fermi-level density of states = 0.43 states/eV per atom
V = 406.7 Å³ per cell
total DFT energy (no corrections) = -4.82 eV/atom
crystal system = orthorhombic
size of the total moment = 0.0 μB/cell
formation energy without anion corrections = -13.74 kcal/mol of atoms
distance to the lowest polymorph of the same formula = 0 meV/atom

Unit cell a=8.7460 b=8.7460 c=8.7460 alpha=108.66 beta=86.29 gamma=138.15
With the nearest neighbours (Å) after each atom.
Atoms (fractional coordinates):
Pr 0.1291 0.2422 0.3713  10 Au 3.31-3.54, 6 Si 3.36-3.43
Pr 0.3709 0.7422 0.1131  10 Au 3.31-3.54, 6 Si 3.36-3.43
Pr 0.6291 0.2578 0.8869  10 Au 3.31-3.54, 6 Si 3.36-3.43
Pr 0.8709 0.7578 0.6287  10 Au 3.31-3.54, 6 Si 3.36-3.43
Si 0.1212 0.6360 0.7572  5 Au 2.41-2.60
Si 0.2500 0.2500 0.0000  4 Au 2.50
Si 0.3788 0.1360 0.5148  5 Au 2.41-2.60
Si 0.6212 0.8640 0.4852  5 Au 2.41-2.60
Si 0.7500 0.7500 0.0000  4 Au 2.50
Si 0.8788 0.3640 0.2428  5 Au 2.41-2.60
Au 0.0179 0.7500 0.2679  2 Si 2.52
Au 0.1136 0.8723 0.9859  3 Si 2.41-2.50
Au 0.2500 0.7500 0.5000  4 Si 2.60
Au 0.3864 0.3723 0.7588  3 Si 2.41-2.50
Au 0.4821 0.7500 0.7321  2 Si 2.52
Au 0.5179 0.2500 0.2679  2 Si 2.52
Au 0.6136 0.6277 0.2412  3 Si 2.41-2.50
Au 0.7500 0.2500 0.5000  4 Si 2.60
Au 0.8864 0.1277 0.0141  3 Si 2.41-2.50
Au 0.9821 0.2500 0.7321  2 Si 2.52

***

[2]
First-principles (PBE-GGA) data for a relaxed structure of CaNiTe2N, as listed in the Alexandria database.

Fermi-level density of states = 0.45 states/eV per atom
V = 108.2 Å³ per cell
total DFT energy (no corrections) = -4.64 eV/atom
crystal system = tetragonal
size of the total moment = 0.0 μB/cell
formation energy without anion corrections = -3.70 kcal/mol of atoms
distance to the lowest polymorph of the same formula = 0 meV/atom

Unit cell a=5.5412 b=5.5412 c=3.5231 alpha=90.00 beta=90.00 gamma=90.00
With the nearest neighbours (Å) after each atom.
Atoms (fractional coordinates):
Ca 0.0000 0.0000 0.0000  8 Te 3.28, 2 Ca 3.52
Ni 0.5000 0.5000 0.5000  2 N 1.76
Te 0.0000 0.5000 0.5000  2 Ni 2.77
Te 0.5000 0.0000 0.5000  2 Ni 2.77
N 0.5000 0.5000 0.0000  2 Ni 1.76

***

[3]
First-principles (PBE-GGA) data for a relaxed structure of CePuFePt, as listed in the Alexandria database.

Fermi-level density of states = 2.55 states/eV per atom
V = 83.1 Å³ per cell
total DFT energy (no corrections) = -9.02 eV/atom
crystal system = cubic
size of the total moment = 4.6 μB/cell

Unit cell a=4.8977 b=4.8977 c=4.8977 alpha=60.00 beta=60.00 gamma=60.00
With the nearest neighbours (Å) after each atom.
Atoms (fractional coordinates):
Ce 0.0000 0.0000 0.0000  4 Fe 3.00, 4 Pt 3.00
Pu 0.5000 0.5000 0.5000  4 Fe 3.00, 4 Pt 3.00
Fe 0.7500 0.7500 0.7500  4 Ce 3.00, 4 Pu 3.00
Pt 0.2500 0.2500 0.2500  4 Ce 3.00, 4 Pu 3.00

***

Q: What is the formula in the first record?
A: Pr2Si3Au5

***

Copy entry 2 word for word.
First-principles (PBE-GGA) data for a relaxed structure of CaNiTe2N, as listed in the Alexandria database.

Fermi-level density of states = 0.45 states/eV per atom
V = 108.2 Å³ per cell
total DFT energy (no corrections) = -4.64 eV/atom
crystal system = tetragonal
size of the total moment = 0.0 μB/cell
formation energy without anion corrections = -3.70 kcal/mol of atoms
distance to the lowest polymorph of the same formula = 0 meV/atom

Unit cell a=5.5412 b=5.5412 c=3.5231 alpha=90.00 beta=90.00 gamma=90.00
With the nearest neighbours (Å) after each atom.
Atoms (fractional coordinates):
Ca 0.0000 0.0000 0.0000  8 Te 3.28, 2 Ca 3.52
Ni 0.5000 0.5000 0.5000  2 N 1.76
Te 0.0000 0.5000 0.5000  2 Ni 2.77
Te 0.5000 0.0000 0.5000  2 Ni 2.77
N 0.5000 0.5000 0.0000  2 Ni 1.76

***

Q: The lowest Fermi-level density of states belongs to which entry?
A: Pr2Si3Au5